# 1
4
Lattice="2.6007 -3.9403 0.0000 2.6007 3.9403 0.0000 -0.9849 0.0000 2.5724" Properties=species:S:1:pos:R:3 comment="Be2WCl GGA-PBE relaxed" dos_at_fermi_per_ev_fu=2.2 raw_formation_energy_mev_per_atom=811 m_tot_mub_per_cell=0.00 de_polymorph_ev_per_fu=2.433 sg="C2/m (12)" pbc="T T T"
Be 1.3004 1.9702 0.0000
Be 1.3004 -1.9702 0.0000
W -0.4925 0.0000 1.2862
Cl 2.1083 0.0000 1.2862

=====

# 2
12
Lattice="3.6646 0.0000 0.0000 -1.8323 3.1737 0.0000 0.0000 0.0000 16.8241" Properties=species:S:1:pos:R:3 comment="CaGeO2 GGA-PBE relaxed" raw_formation_energy_mev_per_atom=-1978 m_tot_mub_per_cell=0.00 sg="P3_221 (154)" pbc="T T T"
Ca -1.1805 2.0447 5.6080
Ca 0.6518 1.1289 0.0000
Ca 2.3611 0.0000 11.2161
Ge -0.8207 1.4214 14.0201
Ge 1.6413 0.0000 2.8040
Ge 1.0117 1.7522 8.4121
O -1.2232 2.2275 15.6185
O 0.5149 1.0007 10.0104
O 0.6092 0.9462 6.8137
O 0.7083 3.1192 4.4024
O 2.5406 0.0544 1.2057
O 2.3472 2.1730 12.4217

=====

# 3
3
Lattice="3.4011 0.0000 0.0000 -1.7006 2.9455 0.0000 0.0000 0.0000 6.4437" Properties=species:S:1:pos:R:3 comment="TiSnSe GGA-PBE relaxed" dos_at_fermi_per_ev_fu=2.1 raw_formation_energy_mev_per_atom=-532 m_tot_mub_per_cell=0.00 sg="P3m1 (156)" pbc="T T T"
Ti 0.0000 0.0000 0.0000
Sn 0.0000 1.9636 4.2455
Se 1.7006 0.9818 1.5702

=====

# 4
12
Lattice="-4.8508 4.8508 4.2618 4.8508 -4.8508 4.2618 4.8508 4.8508 -4.2618" Properties=species:S:1:pos:R:3 comment="Nd4CuPt GGA-PBE relaxed" dos_at_fermi_per_ev_fu=9.4 ef_ev_per_atom=-0.248 m_tot_mub_per_cell=0.00 sg="I4_1md (109)" pbc="T T T"
Nd 4.8508 1.9395 0.0154
Nd 2.9114 4.8508 -2.1155
Nd 1.9395 0.0000 2.1463
Nd 0.0000 2.9010 0.0000
Nd 0.0000 6.8007 0.0000
Nd 2.9010 4.8508 2.1309
Nd 1.9499 0.0000 6.3927
Nd 0.0000 2.9114 4.2772
Cu 0.0000 4.8508 2.1174
Cu 0.0000 0.0000 8.5101
Pt 4.8508 0.0000 2.1473
Pt 0.0000 0.0000 4.2782

=====

# 5
5
Lattice="4.0777 0.0000 0.0000 0.0000 4.0777 0.0000 0.0000 0.0000 6.1413" Properties=species:S:1:pos:R:3 comment="HfCoIN2 GGA-PBE relaxed" dos_at_fermi_per_ev_fu=7.2 raw_formation_energy_mev_per_atom=679 m_tot_mub_per_cell=2.62 de_polymorph_ev_per_fu=0.000 sg="P4/mmm (123)" pbc="T T T"
Hf 0.0000 0.0000 0.0000
Co 2.0388 2.0388 3.0706
I 0.0000 0.0000 3.0706
N 0.0000 2.0388 0.0000
N 2.0388 0.0000 0.0000

=====

# 6
11
Lattice="3.3353 -5.7972 0.0000 3.3353 5.7972 0.0000 -2.1753 0.0000 7.6350" Properties=species:S:1:pos:R:3 comment="K2Pa2FeS6 GGA-PBE relaxed" dos_at_fermi_per_ev_fu=8.7 raw_formation_energy_mev_per_atom=-1299 m_tot_mub_per_cell=1.98 sg="C2/m (12)" pbc="T T T"
K 3.3353 3.8814 0.0000
K 3.3353 -3.8814 0.0000
Pa 2.2476 1.8961 3.8175
Pa 2.2476 -1.8961 3.8175
Fe -1.0877 0.0000 3.8175
S 0.0040 1.9167 5.2985
S 1.0168 0.0000 2.3460
S 0.0040 -1.9167 5.2985
S 4.4912 1.9167 2.3365
S 3.4784 0.0000 5.2890
S 4.4912 -1.9167 2.3365